(1)
! RbZr6Se12 | Alexandria via LeMat-Bulk | PBE | relaxed; values from VASP
&SYSTEM
  ibrav = 0, nat = 19, ntyp = 3
/
ATOMIC_SPECIES
Rb 85.47 Rb.upf
Zr 91.22 Zr.upf
Se 78.96 Se.upf
ATOMIC_POSITIONS crystal
Rb 0.0000 0.0000 0.0000
Zr 0.2648 0.2648 0.6572
Zr 0.2648 0.6572 0.2648
Zr 0.3428 0.7352 0.7352
Zr 0.6572 0.2648 0.2648
Zr 0.7352 0.3428 0.7352
Zr 0.7352 0.7352 0.3428
Se 0.1229 0.5000 0.8771
Se 0.1229 0.8771 0.5000
Se 0.1615 0.4297 0.4297
Se 0.4297 0.1615 0.4297
Se 0.4297 0.4297 0.1615
Se 0.5000 0.1229 0.8771
Se 0.5000 0.8771 0.1229
Se 0.5703 0.5703 0.8385
Se 0.5703 0.8385 0.5703
Se 0.8385 0.5703 0.5703
Se 0.8771 0.1229 0.5000
Se 0.8771 0.5000 0.1229
CELL_PARAMETERS angstrom
6.6067 3.8144 3.1593
-6.6067 3.8144 3.1593
0.0000 -7.6287 3.1593
! E_form (uncorrected), eV per formula unit: -20.63
! Symmetry: R-3m, No. 166
! Final energy, eV/atom: -6.04
! Total magnetization, Bohr magnetons per cell: 0.02

(2)
! Ce3UOs3 | Alexandria via LeMat-Bulk | PBE | relaxed; values from VASP
&SYSTEM
  ibrav = 0, nat = 14, ntyp = 3
/
ATOMIC_SPECIES
Ce 140.12 Ce.upf
U 238.03 U.upf
Os 190.23 Os.upf
ATOMIC_POSITIONS crystal
Ce 0.0500 0.2740 0.2500
Ce 0.2240 0.9500 0.2500
Ce 0.2740 0.2240 0.7500
Ce 0.7260 0.7760 0.2500
Ce 0.7760 0.0500 0.7500
Ce 0.9500 0.7260 0.7500
U 0.3333 0.6667 0.7500
U 0.6667 0.3333 0.2500
Os 0.0061 0.4267 0.7500
Os 0.4206 0.9939 0.7500
Os 0.4267 0.4206 0.2500
Os 0.5733 0.5794 0.7500
Os 0.5794 0.0061 0.2500
Os 0.9939 0.5733 0.2500
CELL_PARAMETERS angstrom
8.5330 0.0000 0.0000
-4.2665 7.3898 0.0000
0.0000 0.0000 5.1705
! Energy relative to the elements, eV/atom: 0.0456
! Symmetry: P6_3/m, No. 176
! Final energy, eV/atom: -8.92
! Total magnetization, Bohr magnetons per cell: 3.30

(3)
! Pm3In5H12 | Alexandria via LeMat-Bulk | PBE | relaxed; values from VASP
&SYSTEM
  ibrav = 0, nat = 80, ntyp = 3
/
ATOMIC_SPECIES
Pm 145.00 Pm.upf
In 114.82 In.upf
H 1.01 H.upf
ATOMIC_POSITIONS crystal
Pm 0.1250 0.2500 0.3750
Pm 0.1250 0.3750 0.7500
Pm 0.2500 0.3750 0.1250
Pm 0.2500 0.8750 0.6250
Pm 0.3750 0.1250 0.2500
Pm 0.3750 0.7500 0.1250
Pm 0.6250 0.2500 0.8750
Pm 0.6250 0.8750 0.7500
Pm 0.7500 0.1250 0.3750
Pm 0.7500 0.6250 0.8750
Pm 0.8750 0.6250 0.2500
Pm 0.8750 0.7500 0.6250
In 0.0000 0.0000 0.0000
In 0.0000 0.0000 0.5000
In 0.0000 0.5000 0.0000
In 0.0000 0.5000 0.5000
In 0.1250 0.7500 0.8750
In 0.1250 0.8750 0.2500
In 0.2500 0.1250 0.8750
In 0.2500 0.6250 0.3750
In 0.3750 0.2500 0.6250
In 0.3750 0.6250 0.7500
In 0.5000 0.0000 0.0000
In 0.5000 0.0000 0.5000
In 0.5000 0.5000 0.0000
In 0.5000 0.5000 0.5000
In 0.6250 0.3750 0.2500
In 0.6250 0.7500 0.3750
In 0.7500 0.3750 0.6250
In 0.7500 0.8750 0.1250
In 0.8750 0.1250 0.7500
In 0.8750 0.2500 0.1250
H 0.0754 0.2388 0.1547
H 0.0754 0.3366 0.9207
H 0.0793 0.6547 0.4159
H 0.0793 0.9246 0.6634
H 0.0841 0.7388 0.6634
H 0.0841 0.8453 0.4207
H 0.1547 0.0754 0.2388
H 0.1547 0.5793 0.9159
H 0.1634 0.2388 0.5841
H 0.1634 0.4246 0.5793
H 0.2388 0.1547 0.0754
H 0.2388 0.5841 0.1634
H 0.2612 0.3366 0.9159
H 0.2612 0.4246 0.3453
H 0.3366 0.9159 0.2612
H 0.3366 0.9207 0.0754
H 0.3453 0.2612 0.4246
H 0.3453 0.5841 0.9207
H 0.4159 0.0793 0.6547
H 0.4159 0.8366 0.7612
H 0.4207 0.0841 0.8453
H 0.4207 0.8366 0.5754
H 0.4246 0.3453 0.2612
H 0.4246 0.5793 0.1634
H 0.5754 0.4207 0.8366
H 0.5754 0.6547 0.7388
H 0.5793 0.1634 0.4246
H 0.5793 0.9159 0.1547
H 0.5841 0.1634 0.2388
H 0.5841 0.9207 0.3453
H 0.6547 0.4159 0.0793
H 0.6547 0.7388 0.5754
H 0.6634 0.0793 0.9246
H 0.6634 0.0841 0.7388
H 0.7388 0.5754 0.6547
H 0.7388 0.6634 0.0841
H 0.7612 0.4159 0.8366
H 0.7612 0.8453 0.9246
H 0.8366 0.5754 0.4207
H 0.8366 0.7612 0.4159
H 0.8453 0.4207 0.0841
H 0.8453 0.9246 0.7612
H 0.9159 0.1547 0.5793
H 0.9159 0.2612 0.3366
H 0.9207 0.0754 0.3366
H 0.9207 0.3453 0.5841
H 0.9246 0.6634 0.0793
H 0.9246 0.7612 0.8453
CELL_PARAMETERS angstrom
-6.5616 6.5616 6.5616
6.5616 -6.5616 6.5616
6.5616 6.5616 -6.5616
! Symmetry: Ia-3d, No. 230
! Final energy, eV/atom: -3.37
! Total magnetization, Bohr magnetons per cell: 0.00

(4)
! ReNiAsSe2 | Alexandria via LeMat-Bulk | PBE | relaxed; values from VASP
&SYSTEM
  ibrav = 0, nat = 5, ntyp = 4
/
ATOMIC_SPECIES
Re 186.21 Re.upf
Ni 58.69 Ni.upf
As 74.92 As.upf
Se 78.96 Se.upf
ATOMIC_POSITIONS crystal
Re 0.0000 0.0000 0.0000
Ni 0.5000 0.5000 0.5000
As 0.0000 0.0000 0.5000
Se 0.0000 0.5000 0.0000
Se 0.5000 0.0000 0.0000
CELL_PARAMETERS angstrom
4.8813 0.0000 0.0000
0.0000 4.8813 0.0000
0.0000 0.0000 4.7955
! E_form (uncorrected), eV per formula unit: 4.95
! Symmetry: P4/mmm, No. 123
! Final energy, eV/atom: -4.98
! ΔE to the lowest computed polymorph, meV/atom: 0.0
! Total magnetization, Bohr magnetons per cell: 0.97

(5)
! CaTeW | Alexandria via LeMat-Bulk | PBE | relaxed; values from VASP
&SYSTEM
  ibrav = 0, nat = 3, ntyp = 3
/
ATOMIC_SPECIES
Ca 40.08 Ca.upf
Te 127.60 Te.upf
W 183.84 W.upf
ATOMIC_POSITIONS crystal
Ca 0.0000 0.0000 0.0000
Te 0.6667 0.3333 0.5000
W 0.3333 0.6667 0.5000
CELL_PARAMETERS angstrom
4.6767 0.0000 0.0000
-2.3383 4.0501 0.0000
0.0000 0.0000 3.8111
! E_form (uncorrected), eV per formula unit: 1.31
! Symmetry: P-6m2, No. 187
! Final energy, eV/atom: -5.60
! ΔE to the lowest computed polymorph, meV/atom: 204.4
! Total magnetization, Bohr magnetons per cell: 1.08

(6)
! RbCrH3 | Alexandria via LeMat-Bulk | PBE | relaxed; values from VASP
&SYSTEM
  ibrav = 0, nat = 5, ntyp = 3
/
ATOMIC_SPECIES
Rb 85.47 Rb.upf
Cr 52.00 Cr.upf
H 1.01 H.upf
ATOMIC_POSITIONS crystal
Rb 0.0000 0.0000 0.0000
Cr 0.5000 0.5000 0.5000
H 0.0000 0.0000 0.5000
H 0.0000 0.5000 0.0000
H 0.5000 0.0000 0.0000
CELL_PARAMETERS angstrom
4.7518 0.0000 0.0000
0.0000 4.7518 0.0000
0.0000 0.0000 4.7518
! Symmetry: Pm-3m, No. 221
! Final energy, eV/atom: -2.74
! ΔE to the lowest computed polymorph, meV/atom: 1330.9
! Total magnetization, Bohr magnetons per cell: 4.00

(7)
! Rb2InGaPb6 | Alexandria via LeMat-Bulk | PBE | relaxed; values from VASP
&SYSTEM
  ibrav = 0, nat = 20, ntyp = 4
/
ATOMIC_SPECIES
Rb 85.47 Rb.upf
In 114.82 In.upf
Ga 69.72 Ga.upf
Pb 207.20 Pb.upf
ATOMIC_POSITIONS crystal
Rb 0.1334 0.1334 0.1334
Rb 0.3086 0.3086 0.3086
Rb 0.6914 0.6914 0.6914
Rb 0.8666 0.8666 0.8666
In 0.0000 0.0000 0.0000
In 0.5000 0.5000 0.5000
Ga 0.4360 0.4360 0.4360
Ga 0.5640 0.5640 0.5640
Pb 0.0394 0.6420 0.6420
Pb 0.2336 0.2336 0.6954
Pb 0.2336 0.6954 0.2336
Pb 0.3046 0.7664 0.7664
Pb 0.3580 0.3580 0.9606
Pb 0.3580 0.9606 0.3580
Pb 0.6420 0.0394 0.6420
Pb 0.6420 0.6420 0.0394
Pb 0.6954 0.2336 0.2336
Pb 0.7664 0.3046 0.7664
Pb 0.7664 0.7664 0.3046
Pb 0.9606 0.3580 0.3580
CELL_PARAMETERS angstrom
4.0595 2.3437 13.8184
-4.0595 2.3437 13.8184
0.0000 -4.6875 13.8184
! Energy relative to the elements, eV/atom: 0.0354
! Symmetry: R-3m, No. 166
! Final energy, eV/atom: -2.96
! Total magnetization, Bohr magnetons per cell: 0.00

(8)
! In5Sn8Pb | Alexandria via LeMat-Bulk | PBE | relaxed; values from VASP
&SYSTEM
  ibrav = 0, nat = 14, ntyp = 3
/
ATOMIC_SPECIES
In 114.82 In.upf
Sn 118.71 Sn.upf
Pb 207.20 Pb.upf
ATOMIC_POSITIONS crystal
In 0.0000 0.0000 0.0000
In 0.2353 0.5210 0.9472
In 0.4790 0.4263 0.7143
In 0.5737 0.2880 0.0528
In 0.7120 0.7647 0.2857
Sn 0.1072 0.0534 0.6803
Sn 0.3731 0.4269 0.3197
Sn 0.4438 0.0405 0.2898
Sn 0.5731 0.8928 0.9462
Sn 0.7506 0.1539 0.7102
Sn 0.8461 0.5562 0.5967
Sn 0.9466 0.6269 0.0538
Sn 0.9595 0.2494 0.4033
Pb 0.2500 0.7500 0.5000
CELL_PARAMETERS angstrom
-4.7992 4.7992 4.4608
4.7992 -4.7992 4.4608
4.7992 4.7992 -4.4608
! Energy relative to the elements, eV/atom: 0.0861
! Symmetry: I-4, No. 82
! Final energy, eV/atom: -3.44
! Total magnetization, Bohr magnetons per cell: 0.00

(9)
! KMo3 | Alexandria via LeMat-Bulk | PBE | relaxed; values from VASP
&SYSTEM
  ibrav = 0, nat = 4, ntyp = 2
/
ATOMIC_SPECIES
K 39.10 K.upf
Mo 95.94 Mo.upf
ATOMIC_POSITIONS crystal
K 0.0000 0.0000 0.0000
Mo 0.0000 0.5000 0.5000
Mo 0.5000 0.0000 0.5000
Mo 0.5000 0.5000 0.0000
CELL_PARAMETERS angstrom
4.9646 2.8663 0.8591
-4.9646 2.8663 0.8591
0.0000 -5.7327 0.8591
! Energy relative to the elements, eV/atom: 1.3893
! Symmetry: R-3m, No. 166
! Final energy, eV/atom: -7.01
! ΔE to the lowest computed polymorph, meV/atom: 651.7
! Total magnetization, Bohr magnetons per cell: 0.00

(10)
! SnRuPbO2 | Alexandria via LeMat-Bulk | PBE | relaxed; values from VASP
&SYSTEM
  ibrav = 0, nat = 5, ntyp = 4
/
ATOMIC_SPECIES
Sn 118.71 Sn.upf
Ru 101.07 Ru.upf
Pb 207.20 Pb.upf
O 16.00 O.upf
ATOMIC_POSITIONS crystal
Sn 0.0000 0.0000 0.0000
Ru 0.5000 0.5000 0.0000
Pb 0.0000 0.0000 0.5000
O 0.0000 0.5000 0.5000
O 0.5000 0.0000 0.5000
CELL_PARAMETERS angstrom
4.0416 0.0000 0.0000
0.0000 4.0416 0.0000
0.0000 0.0000 7.5830
! E_form (uncorrected), eV per formula unit: 2.66
! Symmetry: P4/mmm, No. 123
! Final energy, eV/atom: -4.85
! Total magnetization, Bohr magnetons per cell: 1.71

(11)
! UV2Se6 | Alexandria via LeMat-Bulk | PBE | relaxed; values from VASP
&SYSTEM
  ibrav = 0, nat = 18, ntyp = 3
/
ATOMIC_SPECIES
U 238.03 U.upf
V 50.94 V.upf
Se 78.96 Se.upf
ATOMIC_POSITIONS crystal
U 0.1467 0.8533 0.7500
U 0.8533 0.1467 0.2500
V 0.2314 0.3118 0.7606
V 0.3118 0.2314 0.2606
V 0.6882 0.7687 0.7394
V 0.7687 0.6882 0.2394
Se 0.0147 0.6186 0.8448
Se 0.0363 0.7864 0.3552
Se 0.2136 0.9637 0.1448
Se 0.3375 0.4282 0.5685
Se 0.3814 0.9853 0.6552
Se 0.4282 0.3375 0.0685
Se 0.5718 0.6625 0.9315
Se 0.6186 0.0147 0.3448
Se 0.6625 0.5718 0.4315
Se 0.7864 0.0363 0.8552
Se 0.9637 0.2136 0.6448
Se 0.9853 0.3814 0.1552
CELL_PARAMETERS angstrom
6.7590 -4.5583 0.0000
6.7590 4.5583 0.0000
-2.3146 0.0000 7.0507
! E_form (uncorrected), eV per formula unit: -5.76
! Symmetry: C2/c, No. 15
! Final energy, eV/atom: -6.24
! ΔE to the lowest computed polymorph, meV/atom: 176.4
! Total magnetization, Bohr magnetons per cell: 7.99

(12)
! CoBi3Br | Alexandria via LeMat-Bulk | PBE | relaxed; values from VASP
&SYSTEM
  ibrav = 0, nat = 5, ntyp = 3
/
ATOMIC_SPECIES
Co 58.93 Co.upf
Bi 208.98 Bi.upf
Br 79.90 Br.upf
ATOMIC_POSITIONS crystal
Co 0.0000 0.0000 0.0000
Bi 0.0000 0.0000 0.5000
Bi 0.0000 0.5000 0.0000
Bi 0.5000 0.0000 0.0000
Br 0.5000 0.5000 0.5000
CELL_PARAMETERS angstrom
5.2011 0.0000 0.0000
0.0000 5.2011 0.0000
0.0000 0.0000 5.2011
! E_form (uncorrected), eV per formula unit: 1.45
! Symmetry: Pm-3m, No. 221
! Final energy, eV/atom: -3.79
! ΔE to the lowest computed polymorph, meV/atom: 0.0
! Total magnetization, Bohr magnetons per cell: 0.02